A plane-wave DFT calculation with PBE was carried out for a relaxed Tm3Mg2Pd3 crystal.

a = 3.387 Å, b = 4.942 Å, c = 20.360 Å
α = 90.00°, β = 90.00°, γ = 90.00°
Space group Immm (No. 71)
Unique sites:
Tm: 0.000 0.000 0.000
Tm: 0.000 0.500 0.119
Mg: 0.000 0.000 0.230
Pd: 0.000 0.000 0.500
Pd: 0.000 0.500 0.381

Summary:
E_tot: -4.709 eV/atom
ΔE_f: -0.69 eV per atom
M_tot: 0.00 Bohr magnetons per cell
energy above the most stable polymorph in this dataset: 0.069 eV per atom

***

A plane-wave DFT calculation with PBE was carried out for a relaxed La2TaSi crystal.

a = 4.291 Å, b = 4.347 Å, c = 6.224 Å
α = 90.00°, β = 110.15°, γ = 90.00°
Space group Pm (No. 6)
Unique sites:
La: 0.000 0.000 0.000
La: 0.289 0.500 0.581
Ta: 0.702 0.000 0.408
Si: 0.583 0.500 0.167

Summary:
E_tot: -6.894 eV/atom
M_tot: 0.00 Bohr magnetons per cell
uncorrected formation energy: -0.4 eV per formula unit

***

A plane-wave DFT calculation with PBE was carried out for a relaxed In2Bi2Sb crystal.

a = 8.613 Å, b = 8.613 Å, c = 4.178 Å
α = 90.00°, β = 90.00°, γ = 90.00°
Space group P4/mbm (No. 127)
Unique sites:
In: 0.147 0.353 0.000
Bi: 0.155 0.655 0.500
Sb: 0.000 0.000 0.500

Summary:
E_tot: -3.339 eV/atom
M_tot: 0.00 Bohr magnetons per cell
energy above the most stable polymorph in this dataset: 0.000 eV per atom
uncorrected formation energy: 0.7 eV per formula unit

***

A plane-wave DFT calculation with PBE was carried out for a relaxed BaGeSbI2 crystal.

a = 5.806 Å, b = 5.806 Å, c = 5.646 Å
α = 90.00°, β = 90.00°, γ = 90.00°
Space group P4/mmm (No. 123)
Unique sites:
Ba: 0.000 0.000 0.000
Ge: 0.500 0.500 0.500
Sb: 0.500 0.500 0.000
I: 0.000 0.500 0.500

Summary:
E_tot: -3.252 eV/atom
M_tot: 0.00 Bohr magnetons per cell
energy above the most stable polymorph in this dataset: 0.000 eV per atom
uncorrected formation energy: -2.5 eV per formula unit

***

A plane-wave DFT calculation with PBE was carried out for a relaxed ZrIn2Os crystal.

a = 7.869 Å, b = 7.869 Å, c = 5.631 Å
α = 90.00°, β = 90.00°, γ = 90.00°
Space group I-42d (No. 122)
Unique sites:
Zr: 0.000 0.000 0.000
In: 0.216 0.750 0.625
Os: 0.000 0.000 0.500

Summary:
E_tot: -5.896 eV/atom
ΔE_f: 0.42 eV per atom
M_tot: 0.00 Bohr magnetons per cell

***

A plane-wave DFT calculation with PBE was carried out for a relaxed HfVN2 crystal.

a = 3.0223 Å, b = 3.0223 Å, c = 15.8793 Å
α = 90.00°, β = 90.00°, γ = 120.00°
Space group R3m (No. 160, hexagonal axes)
Unique sites:
Hf: 0.0000 0.0000 0.0000
V: 0.0000 0.0000 0.8249
N: 0.0000 0.0000 0.4186
N: 0.0000 0.0000 0.5794

Summary:
E_tot: -10.112 eV/atom
M_tot: 0.01 Bohr magnetons per cell
uncorrected formation energy: -4.7 eV per formula unit

***

Q: Which formula does entry 4 have?
A: BaGeSbI2

***

Q: What is the E_tot in the second record?
A: -6.894 eV/atom

***

Q: The highest E_tot belongs to which entry?
A: BaGeSbI2